[1]
Density functional theory data (PBE-GGA) for a relaxed CaPt2Cl crystal.

Cell lengths 5.656, 3.109, 4.440 Å; angles 89.57, 90.00, 90.00 degrees
Fractional coordinates of all 4 atoms:
Ca 0.500 0.250 0.250
Cl 0.500 0.750 0.750
Pt 0.000 0.003 0.002
Pt 0.000 0.497 0.498

Output
- ΔE to the lowest computed polymorph (eV/f.u.) = 0.80
- E_form (uncorrected) (eV/atom) = -0.661
- theoretical density (g/cm3) = 9.904
- crystal system = monoclinic


[2]
Density functional theory data (PBE-GGA) for a relaxed K2In6GaAu crystal.

Cell lengths 6.488, 10.529, 9.134 Å; angles 90.00, 90.00, 90.00 degrees
Fractional coordinates of all 20 atoms:
Au 0.000 0.740 0.500
Au 0.500 0.260 0.000
In 0.500 0.123 0.275
In 0.252 0.526 0.500
In 0.500 0.123 0.725
In 0.248 0.474 0.000
In 0.000 0.877 0.225
In 0.752 0.474 0.000
In 0.000 0.877 0.775
In 0.747 0.969 0.500
In 0.247 0.031 0.000
In 0.748 0.526 0.500
In 0.753 0.031 0.000
In 0.253 0.969 0.500
K 0.000 0.261 0.727
K 0.500 0.739 0.773
K 0.500 0.739 0.227
K 0.000 0.261 0.273
Ga 0.000 0.692 0.000
Ga 0.500 0.308 0.500

Output
- formation energy from the elements (meV per atom) = -36
- theoretical density (g/cm3) = 5.503
- crystal system = orthorhombic


[3]
Density functional theory data (PBE-GGA) for a relaxed TiCoSi crystal.

Cell lengths 6.023, 6.023, 3.713 Å; angles 90.00, 90.00, 120.00 degrees
Fractional coordinates of all 9 atoms:
Co 0.000 0.757 0.000
Co 0.243 0.243 0.000
Co 0.757 0.000 0.000
Si 0.333 0.667 0.000
Si 0.667 0.333 0.000
Si 0.000 0.000 0.500
Ti 0.566 0.566 0.500
Ti 0.434 0.000 0.500
Ti 0.000 0.434 0.500

Output
- E_form (uncorrected) (eV/atom) = -0.790
- theoretical density (g/cm3) = 5.761
- crystal system = hexagonal